No. 1
The following is a DFT calculation (PBE) of crystalline TbHoCSe at its relaxed geometry.

Summary:
DFT total energy = -6.626 eV/atom
V = 162.7 Å³ per cell

Geometry as POSCAR:
```
TbHoCSe
1.0
-3.060 -1.963 -0.965
3.266 -0.622 -1.760
3.093 -9.252 9.010
C Ho Se Tb
2 2 2 2
direct
0.000 0.000 0.499
0.000 0.000 0.999
0.333 0.667 0.399
0.667 0.333 0.899
0.667 0.333 0.252
0.333 0.667 0.752
0.333 0.667 0.100
0.667 0.333 0.600
```


No. 2
The following is a DFT calculation (PBE) of crystalline ThHgW at its relaxed geometry.

Summary:
Formation enthalpy at 0 K = 263 kJ/mol of formula units
V = 78.5 Å³ per cell
ΔE to the lowest computed polymorph = 0.000 eV per formula unit

Geometry as POSCAR:
```
ThHgW
1.0
0.000 3.398 3.398
3.398 0.000 3.398
3.398 3.398 0.000
Hg Th W
1 1 1
direct
0.250 0.250 0.250
0.750 0.750 0.750
0.000 0.000 0.000
```


No. 3
The following is a DFT calculation (PBE) of crystalline ZrB at its relaxed geometry.

Summary:
DFT total energy = -7.758 eV/atom
V = 177.8 Å³ per cell

Geometry as POSCAR:
```
ZrB
1.0
-1.382 0.760 -4.320
-5.170 -6.438 0.514
-3.369 2.831 1.576
B Zr
6 6
direct
0.457 0.123 0.000
0.958 0.691 0.000
0.959 0.289 0.500
0.652 0.415 0.500
0.265 0.415 0.500
0.459 0.597 0.500
0.959 0.324 0.000
0.459 0.509 0.000
0.458 0.823 0.000
0.957 0.998 0.000
0.459 0.147 0.500
0.958 0.667 0.500
```


No. 4
The following is a DFT calculation (PBE) of crystalline LaTlHgSe3 at its relaxed geometry.

Summary:
V = 371.1 Å³ per cell
ΔE to the lowest computed polymorph = 0.155 eV per formula unit

Geometry as POSCAR:
```
LaTlHgSe3
1.0
-1.206 -7.999 1.860
1.526 -1.147 -3.945
9.834 2.015 3.218
Hg La Se Tl
2 2 6 2
direct
0.081 0.250 0.117
0.919 0.750 0.883
0.294 0.750 0.368
0.706 0.250 0.632
0.246 0.750 0.058
0.537 0.250 0.351
0.041 0.250 0.359
0.959 0.750 0.641
0.463 0.750 0.649
0.754 0.250 0.942
0.727 0.750 0.213
0.273 0.250 0.787
```


No. 5
The following is a DFT calculation (PBE) of crystalline DyY2Ho3Bi2Os at its relaxed geometry.

Summary:
DFT total energy = -6.152 eV/atom
V = 251.9 Å³ per cell

Geometry as POSCAR:
```
DyY2Ho3Bi2Os
1.0
4.233 0.000 0.000
0.000 7.179 4.145
0.000 -7.179 4.145
Bi Dy Ho Os Y
2 1 3 1 2
direct
0.000 0.667 0.333
0.000 0.333 0.667
0.000 0.766 0.766
0.500 0.387 0.387
0.500 0.000 0.613
0.500 0.613 0.000
0.500 0.999 0.999
0.000 0.000 0.236
0.000 0.236 0.000
```


No. 6
The following is a DFT calculation (PBE) of crystalline DyEr6Mg at its relaxed geometry.

Summary:
DFT total energy = -4.167 eV/atom
V = 240.0 Å³ per cell

Geometry as POSCAR:
```
DyEr6Mg
1.0
7.060 0.000 0.000
-3.530 6.114 0.000
0.000 0.000 5.560
Dy Er Mg
1 6 1
direct
0.333 0.667 0.000
0.833 0.167 0.000
0.334 0.167 0.000
0.833 0.666 0.000
0.005 0.503 0.500
0.497 0.503 0.500
0.497 0.995 0.500
0.000 0.000 0.500
```


No. 7
The following is a DFT calculation (PBE) of crystalline GdInCl3 at its relaxed geometry.

Summary:
V = 283.8 Å³ per cell
ΔE to the lowest computed polymorph = 0.000 eV per formula unit

Geometry as POSCAR:
```
GdInCl3
1.0
-7.358 1.132 1.856
5.703 -3.969 -3.254
1.473 -5.343 9.099
Cl Gd In
6 2 2
direct
0.364 0.636 0.028
0.029 0.971 0.250
0.364 0.636 0.472
0.636 0.364 0.528
0.971 0.029 0.750
0.636 0.364 0.972
0.000 0.000 0.000
0.000 0.000 0.500
0.732 0.268 0.250
0.268 0.732 0.750
```


No. 8
The following is a DFT calculation (PBE) of crystalline La3SmI2N2 at its relaxed geometry.

Summary:
DFT total energy = -6.184 eV/atom
V = 196.3 Å³ per cell

Geometry as POSCAR:
```
La3SmI2N2
1.0
-0.899 3.699 -0.404
0.545 -2.186 -3.095
-15.026 -3.660 -0.062
I La N Sm
2 3 2 1
direct
0.000 0.000 0.248
0.667 0.333 0.758
0.667 0.333 0.085
0.667 0.333 0.414
0.000 0.000 0.589
0.333 0.667 0.501
0.333 0.667 0.990
0.000 0.000 0.915
```